[1]
DFT (SCAN) results for YCoN2 at its PBEsol-relaxed geometry.

```
YCoN2
1.0
-2.8700 -0.2025 2.6233
-3.3618 -1.7340 -0.9224
-0.9305 -3.4220 1.6072
N Y Co
2 1 1
direct
0.7500 0.7500 0.7500
0.2500 0.2500 0.2500
0.5000 0.5000 0.5000
0.0000 0.0000 0.0000
```

Summary:
formation energy from raw total energies	-208.5	meV/atom
crystal system	cubic

[2]
DFT (SCAN) results for ZnCo2N2 at its PBEsol-relaxed geometry.

```
ZnCo2N2
1.0
-1.9460 -2.7915 -0.0577
2.6422 -1.8639 1.0618
-1.2986 0.8090 4.6516
Zn N Co
1 2 2
direct
0.5000 0.5000 0.0000
0.0000 0.5000 0.2692
0.5000 0.0000 0.7308
0.0000 0.0000 0.7458
0.0000 0.0000 0.2542
```

Summary:
formation energy from raw total energies	535.3	meV/atom
crystal system	tetragonal

[3]
DFT (SCAN) results for Zr4Co2N at its PBEsol-relaxed geometry.

```
Zr4Co2N
1.0
8.4963 0.0000 0.0000
4.2482 7.3580 0.0000
4.2482 2.4527 6.9372
Co N Zr
8 4 16
direct
0.3388 0.3388 0.9836
0.9836 0.3388 0.3388
0.9112 0.9112 0.2664
0.3388 0.9836 0.3388
0.9112 0.9112 0.9112
0.2664 0.9112 0.9112
0.9112 0.2664 0.9112
0.3388 0.3388 0.3388
0.1250 0.6250 0.6250
0.6250 0.6250 0.6250
0.6250 0.1250 0.6250
0.6250 0.6250 0.1250
0.6852 0.3148 0.3148
0.3148 0.6852 0.6852
0.5648 0.9352 0.9352
0.6852 0.3148 0.6852
0.9352 0.9352 0.5648
0.9352 0.5648 0.9352
0.6250 0.1250 0.1250
0.5648 0.5648 0.9352
0.9352 0.5648 0.5648
0.1250 0.6250 0.1250
0.1250 0.1250 0.6250
0.6852 0.6852 0.3148
0.3148 0.6852 0.3148
0.1250 0.1250 0.1250
0.5648 0.9352 0.5648
0.3148 0.3148 0.6852
```

Summary:
formation energy from raw total energies	-751.1	meV/atom
crystal system	cubic

[4]
DFT (SCAN) results for NaNb3Co at its PBEsol-relaxed geometry.

```
NaNb3Co
1.0
4.6430 0.0000 0.0000
0.0000 4.6430 0.0000
0.0000 0.0000 4.6430
Co Nb Na
1 3 1
direct
0.0000 0.0000 0.0000
0.5000 0.0000 0.0000
0.0000 0.0000 0.5000
0.0000 0.5000 0.0000
0.5000 0.5000 0.5000
```

Summary:
crystal system	cubic
total DFT energy (no corrections)	-23.2386	eV/atom

[5]
DFT (SCAN) results for Na2NbCoOs at its PBEsol-relaxed geometry.

```
Na2NbCoOs
1.0
-2.7296 -3.0394 -1.7094
3.4708 -2.1581 -1.7051
0.3508 -2.4864 3.8609
Na Nb Os Co
2 1 1 1
direct
0.5000 0.0000 0.0000
0.0000 0.5000 0.0000
0.0000 0.0000 0.5000
0.5000 0.5000 0.5000
0.0000 0.0000 0.0000
```

Summary:
crystal system	tetragonal
total DFT energy (no corrections)	-24.3665	eV/atom

[6]
DFT (SCAN) results for Na3CoNi at its PBEsol-relaxed geometry.

```
Na3CoNi
1.0
5.1303 0.0000 0.0000
0.0000 5.1303 0.0000
0.0000 0.0000 5.1303
Na Co Ni
3 1 1
direct
0.0000 0.5000 0.0000
0.5000 0.0000 0.0000
0.0000 0.0000 0.5000
0.5000 0.5000 0.5000
0.0000 0.0000 0.0000
```

Summary:
crystal system	cubic
total DFT energy (no corrections)	-8.0811	eV/atom

[7]
DFT (SCAN) results for NaCoSiNi2 at its PBEsol-relaxed geometry.

```
NaCoSiNi2
1.0
-2.5020 0.8303 -3.1810
-0.2303 -4.0319 -0.8713
-3.3362 -0.3564 2.5311
Ni Si Co Na
2 1 1 1
direct
0.5000 0.0000 0.0000
0.0000 0.5000 0.0000
0.5000 0.5000 0.5000
0.0000 0.0000 0.5000
0.0000 0.0000 0.0000
```

Summary:
formation energy from raw total energies	1832.2	meV/atom
crystal system	tetragonal

[8]
DFT (SCAN) results for Na3Co5O10 at its PBEsol-relaxed geometry.

```
Na3Co5O10
1.0
-4.4596 1.4712 1.2177
-0.5613 -0.9043 5.5640
0.2610 7.2073 1.9119
Co O Na
5 10 3
direct
0.8023 0.9937 0.6006
0.9977 0.0039 0.2001
0.4029 0.9937 0.3994
0.1978 0.0039 0.7999
0.6024 0.9916 0.0000
0.2120 0.1701 0.0000
0.3891 0.8198 0.2009
0.9968 0.8290 0.0000
0.0082 0.1750 0.4039
0.8013 0.1746 0.8006
0.5900 0.8198 0.7991
0.1966 0.8187 0.6003
0.4120 0.1750 0.5961
0.6019 0.1746 0.1994
0.7968 0.8187 0.3997
0.4353 0.5051 0.0000
0.2337 0.5046 0.3976
0.6313 0.5046 0.6024
```

Summary:
formation energy from raw total energies	-1566.3	meV/atom
crystal system	monoclinic

[9]
DFT (SCAN) results for Na3CoO3 at its PBEsol-relaxed geometry.

```
Na3CoO3
1.0
-3.7518 1.0237 4.4758
1.8979 -5.5465 2.8595
6.6860 5.3696 4.3763
Na Co O
12 4 12
direct
0.2813 0.6418 0.1881
0.8677 0.9230 0.8488
0.1970 0.3733 0.9177
0.3030 0.3733 0.4177
0.6323 0.9230 0.3488
0.8030 0.6267 0.0823
0.7813 0.3582 0.3119
0.6970 0.6267 0.5823
0.3677 0.0770 0.6512
0.1323 0.0770 0.1512
0.7187 0.3582 0.8119
0.2187 0.6418 0.6881
0.5935 0.1632 0.0637
0.9065 0.1632 0.5637
0.4065 0.8368 0.9363
0.0935 0.8368 0.4363
0.0377 0.1095 0.3822
0.8736 0.2601 0.0300
0.9623 0.8905 0.6178
0.9382 0.6672 0.3149
0.1264 0.7399 0.9700
0.4382 0.3328 0.1851
0.3736 0.7399 0.4700
0.6264 0.2601 0.5300
0.5618 0.6672 0.8149
0.5377 0.8905 0.1178
0.4623 0.1095 0.8822
0.0618 0.3328 0.6851
```

Summary:
formation energy from raw total energies	-1492.8	meV/atom
crystal system	monoclinic
relative energy among the computed polymorphs	0	meV per atom

[10]
DFT (SCAN) results for Na4Co7O14 at its PBEsol-relaxed geometry.

```
Na4Co7O14
1.0
7.4167 0.0000 0.0000
-3.7083 6.4230 0.0000
0.0000 0.0000 10.9711
Na O Co
8 28 14
direct
0.4101 0.4523 0.7500
0.4523 0.0423 0.2500
0.5477 0.9577 0.7500
0.0423 0.5899 0.7500
0.5899 0.5477 0.2500
0.9577 0.4101 0.2500
0.0000 0.0000 0.2500
0.0000 0.0000 0.7500
0.3808 0.4773 0.4160
0.7635 0.9553 0.5884
0.0447 0.8082 0.5884
0.0447 0.8082 0.9116
0.6192 0.5227 0.5840
0.3333 0.6667 0.9066
0.4773 0.0965 0.9160
0.7635 0.9553 0.9116
0.3808 0.4773 0.0840
0.0965 0.6192 0.0840
0.8082 0.7635 0.0884
0.2365 0.0447 0.0884
0.0965 0.6192 0.4160
0.6667 0.3333 0.4066
0.9553 0.1918 0.0884
0.9553 0.1918 0.4116
0.5227 0.9035 0.4160
0.5227 0.9035 0.0840
0.3333 0.6667 0.5934
0.1918 0.2365 0.9116
0.6667 0.3333 0.0934
0.4773 0.0965 0.5840
0.9035 0.3808 0.9160
0.8082 0.7635 0.4116
0.2365 0.0447 0.4116
0.1918 0.2365 0.5884
0.9035 0.3808 0.5840
0.6192 0.5227 0.9160
0.1437 0.4286 0.9986
0.0000 0.0000 0.0000
0.8563 0.5714 0.4986
0.7152 0.1437 0.4986
0.8563 0.5714 0.0014
0.7152 0.1437 0.0014
0.5714 0.7152 0.9986
0.4286 0.2848 0.4986
0.1437 0.4286 0.5014
0.5714 0.7152 0.5014
0.2848 0.8563 0.5014
0.0000 0.0000 0.5000
0.4286 0.2848 0.0014
0.2848 0.8563 0.9986
```

Summary:
formation energy from raw total energies	-1580.6	meV/atom
crystal system	hexagonal

[11]
DFT (SCAN) results for Na3CoO3 at its PBEsol-relaxed geometry.

```
Na3CoO3
1.0
-2.7524 -3.5580 0.5624
0.3623 -1.6582 -8.7179
7.0557 -5.2539 1.2926
O Na Co
12 12 4
direct
0.0000 0.1059 0.3143
0.5000 0.5933 0.5931
0.0000 0.8941 0.6857
0.5000 0.8147 0.3941
0.0000 0.6853 0.8941
0.0000 0.3147 0.1059
0.5000 0.6059 0.1857
0.5000 0.1853 0.6059
0.0000 0.9067 0.0931
0.5000 0.3941 0.8143
0.5000 0.4067 0.4069
0.0000 0.0933 0.9069
0.0000 0.1348 0.6192
0.0000 0.3595 0.3595
0.5000 0.6348 0.8808
0.0000 0.8652 0.3808
0.5000 0.1188 0.3655
0.0000 0.6188 0.1345
0.0000 0.3812 0.8655
0.0000 0.6405 0.6405
0.5000 0.1405 0.8595
0.5000 0.8595 0.1405
0.5000 0.3652 0.1192
0.5000 0.8812 0.6345
0.5000 0.3849 0.6150
0.5000 0.6151 0.3850
0.0000 0.1151 0.1150
0.0000 0.8849 0.8850
```

Summary:
formation energy from raw total energies	-1469.4	meV/atom
crystal system	tetragonal
relative energy among the computed polymorphs	23	meV per atom

[12]
DFT (SCAN) results for Na3CoO3 at its PBEsol-relaxed geometry.

```
Na3CoO3
1.0
-8.0924 1.1694 -0.7162
1.4625 -7.8003 2.0936
2.9838 4.9926 5.7912
Co O Na
4 12 12
direct
0.0000 0.6312 0.0000
0.6312 0.0000 0.0000
0.3688 0.3688 0.3688
0.0000 0.0000 0.6312
0.2258 0.7487 0.2258
0.5229 0.0000 0.7742
0.0000 0.5229 0.7742
0.4771 0.2513 0.4771
0.2258 0.2258 0.7487
0.7742 0.0000 0.5229
0.0000 0.7742 0.5229
0.5229 0.7742 0.0000
0.2513 0.4771 0.4771
0.7742 0.5229 0.0000
0.7487 0.2258 0.2258
0.4771 0.4771 0.2513
0.0000 0.2729 0.5072
0.5072 0.2729 0.0000
0.7271 0.2342 0.7271
0.2729 0.0000 0.5072
0.7271 0.7271 0.2342
0.4928 0.4928 0.7658
0.2729 0.5072 0.0000
0.5072 0.0000 0.2729
0.2342 0.7271 0.7271
0.0000 0.5072 0.2729
0.4928 0.7658 0.4928
0.7658 0.4928 0.4928
```

Summary:
formation energy from raw total energies	-1472.4	meV/atom
crystal system	cubic
relative energy among the computed polymorphs	20	meV per atom

[13]
DFT (SCAN) results for Na6CoO4 at its PBEsol-relaxed geometry.

```
Na6CoO4
1.0
9.2065 0.0000 0.0000
-3.0688 8.6800 0.0000
-3.0688 -4.3400 7.5171
O Na Co
16 24 4
direct
0.2054 0.0000 0.7226
0.7226 0.0000 0.2054
0.2774 0.2774 0.4828
0.4828 0.2774 0.2774
0.0000 0.2054 0.7226
0.0000 0.7226 0.2054
0.2054 0.7226 0.0000
0.7946 0.5172 0.7946
0.5000 0.0000 0.5000
0.2774 0.4828 0.2774
0.0000 0.5000 0.5000
0.0000 0.0000 0.0000
0.5172 0.7946 0.7946
0.7226 0.2054 0.0000
0.5000 0.5000 0.0000
0.7946 0.7946 0.5172
0.7350 0.0000 0.4587
0.2763 0.5413 0.5413
0.4587 0.7350 0.0000
0.2169 0.0000 0.4221
0.2650 0.2650 0.7237
0.0000 0.4221 0.2169
0.0000 0.2169 0.4221
0.5413 0.5413 0.2763
0.7948 0.5779 0.5779
0.5779 0.5779 0.7948
0.4221 0.0000 0.2169
0.5779 0.7948 0.5779
0.7350 0.4587 0.0000
0.2650 0.7237 0.2650
0.5413 0.2763 0.5413
0.0000 0.7350 0.4587
0.2169 0.4221 0.0000
0.7831 0.2052 0.7831
0.0000 0.4587 0.7350
0.4221 0.2169 0.0000
0.4587 0.0000 0.7350
0.7831 0.7831 0.2052
0.2052 0.7831 0.7831
0.7237 0.2650 0.2650
0.0000 0.0000 0.7495
0.7495 0.0000 0.0000
0.2505 0.2505 0.2505
0.0000 0.7495 0.0000
```

Summary:
formation energy from raw total energies	-1310.1	meV/atom
crystal system	cubic
relative energy among the computed polymorphs	64	meV per atom

[14]
DFT (SCAN) results for Na6CoO4 at its PBEsol-relaxed geometry.

```
Na6CoO4
1.0
-0.0854 -5.1575 -1.5678
7.3643 0.0211 -0.4705
0.4563 -2.1491 7.0448
Na O Co
12 8 2
direct
0.0000 0.7104 0.7104
0.6028 0.0000 0.5000
0.5000 0.2104 0.2104
0.5000 0.7896 0.2104
0.5000 0.2104 0.7896
0.0000 0.2896 0.2896
0.3972 0.5000 0.0000
0.8972 0.5000 0.0000
0.5000 0.7896 0.7896
0.0000 0.7104 0.2896
0.0000 0.2896 0.7104
0.1028 0.0000 0.5000
0.3292 0.7430 0.5000
0.8292 0.0000 0.2430
0.3292 0.2570 0.5000
0.6708 0.5000 0.2570
0.1708 0.7570 0.0000
0.1708 0.2430 0.0000
0.8292 0.0000 0.7570
0.6708 0.5000 0.7430
0.0000 0.0000 0.0000
0.5000 0.5000 0.5000
```

Summary:
formation energy from raw total energies	-1344.6	meV/atom
crystal system	tetragonal
relative energy among the computed polymorphs	30	meV per atom

[15]
DFT (SCAN) results for NaCo2O3 at its PBEsol-relaxed geometry.

```
NaCo2O3
1.0
5.1204 0.0125 0.0000
-0.0139 5.6948 0.0000
0.0069 -2.8474 4.9394
Na O Co
2 6 4
direct
0.0014 0.6818 0.0000
0.5012 0.3176 0.0000
0.1243 0.6652 0.5896
0.5302 0.7219 0.0000
0.1243 0.0756 0.4104
0.0301 0.2774 0.0000
0.6242 0.3344 0.4099
0.6242 0.9244 0.5901
0.9798 0.3347 0.3417
0.4799 0.0066 0.3417
0.4799 0.6649 0.6583
0.9798 0.9930 0.6583
```

Summary:
formation energy from raw total energies	-1282.0	meV/atom
crystal system	orthorhombic

[16]
DFT (SCAN) results for Na3CoO3 at its PBEsol-relaxed geometry.

```
Na3CoO3
1.0
-4.3665 1.1304 1.4387
-1.3612 -6.2994 0.8182
2.3326 1.5501 5.8618
Na O Co
6 6 2
direct
0.2500 0.3977 0.6023
0.2500 0.3341 0.1106
0.7500 0.1106 0.3341
0.7500 0.6023 0.3977
0.2500 0.8894 0.6659
0.7500 0.6659 0.8894
0.2500 0.6824 0.9307
0.2500 0.6275 0.3725
0.7500 0.3176 0.0693
0.7500 0.9307 0.6824
0.7500 0.3725 0.6275
0.2500 0.0693 0.3176
0.2500 0.8043 0.1957
0.7500 0.1957 0.8043
```

Summary:
formation energy from raw total energies	-1492.7	meV/atom
crystal system	orthorhombic
relative energy among the computed polymorphs	0	meV per atom

Record-wise calculated volume values, in Å³/f.u.: 41.7, 56.7, 108.4, 100.1, 90.3, 135.0, 71.7, 185.6, 92.8, 261.3, 89.5, 106.4, 150.2, 146.8, 72.0, 98.0